Here is a relaxed structure of Ba2CrSb2H4 from the Alexandria database. Energies are from GGA-PBE.

```
Ba2CrSb2H4
1.0
-5.9732 0.8780 -1.8921
2.6654 -5.3515 -2.0706
0.7003 -0.8250 6.2337
H Sb Ba Cr
4 2 2 1
Direct
0.6390 0.8195 0.8195 H
0.0000 0.8195 0.1805 H
0.0000 0.1805 0.8195 H
0.3610 0.1805 0.1805 H
0.0000 0.6675 0.6675 Sb
0.0000 0.3325 0.3325 Sb
0.5000 0.2500 0.7500 Ba
0.5000 0.7500 0.2500 Ba
0.0000 0.0000 0.0000 Cr
```

Calculated values
Space-group type: I4/mmm
VASP energy (eV for the cell shown): -36.7